# LiTmGe2Ir | Alexandria via LeMat-Bulk | PBE-GGA | optimized geometry
data_LiTmGe2Ir
_space_group_name_H-M_alt 'I -4 m 2'
_space_group_IT_number 119
_space_group_name_Hall 'I -4 -2'
_cell_length_a 4.0626
_cell_length_b 4.0626
_cell_length_c 10.5793
_cell_angle_alpha 90.00
_cell_angle_beta 90.00
_cell_angle_gamma 90.00
loop_
_atom_site_label
_atom_site_type_symbol
_atom_site_fract_x
_atom_site_fract_y
_atom_site_fract_z
_atom_site_occupancy
Li1 Li 0.0000 0.0000 0.0000 1
Tm1 Tm 0.0000 0.5000 0.7500 1
Ge1 Ge 0.0000 0.5000 0.1327 1
Ir1 Ir 0.0000 0.0000 0.5000 1
# **Crystal system**: tetragonal
# **Calculated total energy**: -5.526 eV per atom
# **Formation energy from the elements**: -630 meV/atom